[1]
Entry from Alexandria via LeMat-Bulk: a relaxed structure of Li2CoCu (GGA-PBE).

a = 2.510 Å, b = 2.510 Å, c = 8.382 Å
α = 90.00°, β = 90.00°, γ = 90.00°
Last column: magnetic moment on the atom in μB.
Atoms (fractional coordinates):
Li  0.000  0.000  0.972  0.00
Li  0.500  0.500  0.279  -0.04
Cu  0.500  0.500  0.734  0.03
Co  0.000  0.000  0.515  1.64

V, Å³/f.u.: 52.8
Spin magnetization, μB per formula unit: 1.51
DFT formation energy, eV/atom: 0.121

---

[2]
Entry from Alexandria via LeMat-Bulk: a relaxed structure of BaMgMo (GGA-PBE).

a = 5.376 Å, b = 5.376 Å, c = 3.061 Å
α = 90.00°, β = 90.00°, γ = 120.00°
Atoms (fractional coordinates):
Mg  0.667  0.333  0.497
Mo  0.333  0.667  0.503
Ba  0.000  0.000  0.001

V, Å³/f.u.: 76.6
Spin magnetization, μB per formula unit: 0.00
DFT formation energy, eV/atom: 0.983

---

[3]
Entry from Alexandria via LeMat-Bulk: a relaxed structure of CaInAu2 (GGA-PBE).

a = 5.626 Å, b = 5.626 Å, c = 5.626 Å
α = 138.19°, β = 130.29°, γ = 66.92°
Atoms (fractional coordinates):
Au  0.765  0.265  0.500
Au  0.999  0.999  0.000
In  0.233  0.733  0.500
Ca  0.502  0.502  0.000

V, Å³/f.u.: 89.2
Spin magnetization, μB per formula unit: 0.00
DFT formation energy, eV/atom: -0.486

---

[4]
Entry from Alexandria via LeMat-Bulk: a relaxed structure of Be2TcW (GGA-PBE).

a = 4.600 Å, b = 4.600 Å, c = 4.121 Å
α = 63.80°, β = 63.80°, γ = 39.92°
Atoms (fractional coordinates):
Be  0.495  0.495  0.510
Be  0.005  0.005  0.990
Tc  0.750  0.750  0.750
W  0.250  0.250  0.250

V, Å³/f.u.: 49.4
Spin magnetization, μB per formula unit: 0.00
DFT formation energy, eV/atom: 0.108

---

[5]
Entry from Alexandria via LeMat-Bulk: a relaxed structure of AsH3S (GGA-PBE).

a = 4.529 Å, b = 4.529 Å, c = 8.272 Å
α = 74.11°, β = 74.11°, γ = 60.00°
Atoms (fractional coordinates):
H  0.267  0.725  0.742
H  0.733  0.275  0.258
H  0.725  0.267  0.742
H  0.267  0.267  0.742
H  0.275  0.733  0.258
H  0.733  0.733  0.258
As  0.842  0.842  0.473
As  0.158  0.158  0.527
S  0.384  0.384  0.849
S  0.616  0.616  0.151

E_tot, eV/atom: -3.58
V, Å³/f.u.: 69.7
Spin magnetization, μB per formula unit: 0.00

---

[6]
Entry from Alexandria via LeMat-Bulk: a relaxed structure of TbCeAl2 (GGA-PBE).

a = 4.522 Å, b = 4.141 Å, c = 10.618 Å
α = 101.28°, β = 90.00°, γ = 90.00°
Last column: magnetic moment on the atom in μB.
Atoms (fractional coordinates):
Al  0.250  0.342  0.185  0.00
Al  0.250  0.922  0.345  -0.01
Al  0.750  0.658  0.815  0.00
Al  0.750  0.078  0.655  -0.01
Ce  0.250  0.546  0.590  0.27
Ce  0.750  0.454  0.410  0.27
Tb  0.750  0.809  0.119  0.01
Tb  0.250  0.191  0.881  0.01

V, Å³/f.u.: 97.5
Spin magnetization, μB per formula unit: 0.31
DFT formation energy, eV/atom: -0.360

---

What is the spin magnetization in the sixth record? 0.31 μB per formula unit

---

The highest spin magnetization belongs to which entry? Li2CoCu

---

Look up the spin magnetization of the fifth one. 0.00 μB per formula unit